Entry from the Alexandria database: a geometry-optimized AlOs2F structure (PBEsol).

abc: 4.1695 4.1695 4.1695
angles: 60.00 60.00 60.00
Fractional coordinates of all 4 atoms:
Al1 0.5000 0.5000 0.5000
F1 0.0000 0.0000 0.0000
Os1 0.7500 0.7500 0.7500
Os2 0.2500 0.2500 0.2500

Computed properties:
Space-group type   Fm-3m, No. 225
VASP energy   -28.496 eV/f.u.
Spin magnetization   0.0 μB per cell
Formation energy (no corrections)   0.489 eV/atom



Entry from the Alexandria database: a geometry-optimized Sr3Li2 structure (PBEsol).

abc: 8.5639 9.6185 9.6185
angles: 90.00 90.00 90.00
Fractional coordinates of all 20 atoms:
Sr1 0.5000 0.7873 0.2127
Sr2 0.0000 0.7127 0.7127
Sr3 0.2500 0.5000 0.0000
Sr4 0.2500 0.0000 0.5000
Sr5 0.7500 0.5000 0.0000
Sr6 0.5000 0.3507 0.3507
Sr7 0.5000 0.6493 0.6493
Sr8 0.0000 0.2873 0.2873
Sr9 0.0000 0.1493 0.8507
Sr10 0.0000 0.8507 0.1493
Sr11 0.7500 0.0000 0.5000
Sr12 0.5000 0.2127 0.7873
Li1 0.6811 0.1130 0.1130
Li2 0.1811 0.3870 0.6130
Li3 0.1811 0.6130 0.3870
Li4 0.3189 0.8870 0.8870
Li5 0.8189 0.3870 0.6130
Li6 0.8189 0.6130 0.3870
Li7 0.6811 0.8870 0.8870
Li8 0.3189 0.1130 0.1130

Computed properties:
Space-group type   P4_2/mnm, No. 136
VASP energy   -9.464 eV/f.u.
DFT formation energy   -0.002 eV per atom
Spin magnetization   0.0 μB per cell